Density functional theory data (GGA-PBE) for crystalline Tm4BOs2 at its relaxed geometry.

Results
Calculated density, g cm⁻³: 11.2
DFT total energy, eV per atom: -6.481

Cell: 7.4868 7.4868 7.4868 Å, 141.94 141.94 54.91°
Sites, in units of the cell vectors:
Tm 0.0000 0.5000 0.5000
Tm 0.1889 0.1889 0.0000
Tm 0.5000 0.0000 0.5000
Tm 0.8111 0.8111 0.0000
B 0.0000 0.0000 0.0000
Os 0.3920 0.3920 0.0000
Os 0.6080 0.6080 0.0000